A relaxed CrNi4Mo crystal, computed with PBE.

As for the formation energy: 65 meV per atom. Its crystal system is cubic. As for the polymorph energy (0 for the lowest one): 0.062 eV per atom.

Cell lengths 6.6173, 6.6173, 6.6173 Å; angles 90.00, 90.00, 90.00 degrees
Space group F-43m (No. 216)
Asymmetric unit:
Cr 0.0000 0.0000 0.0000
Ni 0.1250 0.1250 0.3750
Mo 0.2500 0.2500 0.7500